## Mg2Se2O7 (PBE)

Data for a geometry-optimized Mg2Se2O7 structure.

Cell: 5.2557 5.5960 10.9221 Å, 90.00 90.00 112.37°
With the nearest neighbours (Å) after each atom.
Fractional coordinates of all 22 atoms:
O  0.5843  0.4699  0.8090  1 Se 1.75
O  0.5843  0.9699  0.6910  1 Se 1.75
O  0.6416  0.8751  0.9582  1 Se 1.76
O  0.4157  0.5301  0.1910  1 Se 1.75
O  0.9357  0.1090  0.1906  1 Se 1.68
O  0.6416  0.3751  0.5418  1 Se 1.76
O  0.3584  0.6249  0.4582  1 Se 1.76
O  0.0643  0.3910  0.6906  1 Se 1.68
O  0.3584  0.1249  0.0418  1 Se 1.76
O  0.0000  0.5000  0.0000  2 Se 1.96
O  0.9357  0.6090  0.3094  1 Se 1.68
O  0.0000  0.0000  0.5000  2 Se 1.96
O  0.0643  0.8910  0.8094  1 Se 1.68
O  0.4157  0.0301  0.3090  1 Se 1.75
Se  0.1736  0.3075  0.0958  3 O 1.68-1.76
Se  0.1736  0.8075  0.4042  3 O 1.68-1.76
Se  0.8264  0.1925  0.5958  3 O 1.68-1.76
Se  0.8264  0.6925  0.9042  3 O 1.68-1.76
Mg  0.4601  0.0829  0.8574  5 O 2.01-2.12
Mg  0.5399  0.9171  0.1426  5 O 2.01-2.12
Mg  0.4601  0.5829  0.6426  5 O 2.01-2.12
Mg  0.5399  0.4171  0.3574  5 O 2.01-2.12

Calculated values
Its symmetry is P2_1/c. Its relative energy among the computed polymorphs is 0 meV per atom. The density of states at the Fermi level is 0.00 states/eV per atom.

=====

## Mg2Se2O7 (PBE)

Data for a geometry-optimized Mg2Se2O7 structure.

Cell: 5.0976 5.7347 5.7347 Å, 95.03 107.19 107.19°
With the nearest neighbours (Å) after each atom.
Fractional coordinates of all 11 atoms:
O  0.6977  0.0656  0.3920  1 Se 1.72
O  0.0000  0.0000  0.0000  2 Se 1.94
O  0.7880  0.5881  0.5881  1 Se 1.74
O  0.3023  0.6080  0.9344  1 Se 1.72
O  0.3023  0.9344  0.6080  1 Se 1.72
O  0.2120  0.4119  0.4119  1 Se 1.74
O  0.6977  0.3920  0.0656  1 Se 1.72
Mg  0.5000  0.6865  0.3135  4 O 2.05-2.06
Mg  0.5000  0.3135  0.6865  4 O 2.05-2.06
Se  0.1183  0.7942  0.7942  3 O 1.72-1.74
Se  0.8817  0.2058  0.2058  3 O 1.72-1.74

Calculated values
Its symmetry is C2/m. Its relative energy among the computed polymorphs is 45 meV per atom. The density of states at the Fermi level is 0.00 states/eV per atom.

=====

## MgSe3O (PBE)

Data for a geometry-optimized MgSe3O structure.

Cell: 4.9474 4.9474 4.9474 Å, 90.00 90.00 90.00°
With the nearest neighbours (Å) after each atom.
Fractional coordinates of all 5 atoms:
Mg  0.0000  0.0000  0.0000  6 Se 2.47
O  0.5000  0.5000  0.5000  12 Se 3.50
Se  0.5000  0.0000  0.0000  2 Mg 2.47
Se  0.0000  0.5000  0.0000  2 Mg 2.47
Se  0.0000  0.0000  0.5000  2 Mg 2.47

Calculated values
Its symmetry is Pm-3m. Its relative energy among the computed polymorphs is 788 meV per atom. The density of states at the Fermi level is 1.80 states/eV per atom.

=====

## MgSeO2 (PBE)

Data for a geometry-optimized MgSeO2 structure.

Cell: 5.8134 5.8134 5.8134 Å, 36.09 36.09 36.09°
With the nearest neighbours (Å) after each atom.
Fractional coordinates of all 4 atoms:
O  0.8838  0.8838  0.8838  1 Mg 1.89
O  0.1162  0.1162  0.1162  1 Mg 1.89
Mg  0.0000  0.0000  0.0000  2 O 1.89
Se  0.5000  0.5000  0.5000  6 O 2.24

Calculated values
Its symmetry is R-3m. Its relative energy among the computed polymorphs is 999 meV per atom. The density of states at the Fermi level is 0.28 states/eV per atom.

=====

## Mg3SeO6 (PBE)

Data for a geometry-optimized Mg3SeO6 structure.

Cell: 5.7257 6.7999 6.7999 Å, 104.64 90.00 90.00°
With the nearest neighbours (Å) after each atom.
Fractional coordinates of all 20 atoms:
Mg  0.0401  0.1335  0.2959  4 O 1.94-2.17
Mg  0.0401  0.7041  0.8665  4 O 1.94-2.17
Mg  0.5401  0.2959  0.1335  4 O 1.94-2.17
Mg  0.0421  0.5512  0.4488  4 O 2.06
Mg  0.5421  0.4488  0.5512  4 O 2.06
Mg  0.5401  0.8665  0.7041  4 O 1.94-2.17
O  0.5232  0.9666  0.0334  1 Se 1.69
O  0.0696  0.0794  0.5880  1 Se 1.65
O  0.7917  0.3342  0.3348  4 Mg 1.94-2.06
O  0.0232  0.0334  0.9666  1 Se 1.69
O  0.0696  0.4120  0.9206  1 Se 1.65
O  0.5696  0.5880  0.0794  1 Se 1.65
O  0.5696  0.9206  0.4120  1 Se 1.65
O  0.2917  0.3348  0.3342  4 Mg 1.94-2.06
O  0.1589  0.8028  0.1972  1 Se 1.72
O  0.6589  0.1972  0.8028  1 Se 1.72
O  0.7917  0.6652  0.6658  4 Mg 1.94-2.06
O  0.2917  0.6658  0.6652  4 Mg 1.94-2.06
Se  0.4583  0.8137  0.1863  4 O 1.65-1.72
Se  0.9583  0.1863  0.8137  4 O 1.65-1.72

Calculated values
Its symmetry is Cmc2_1. Its relative energy among the computed polymorphs is 144 meV per atom.

=====

## Mg3SeO6 (PBE)

Data for a geometry-optimized Mg3SeO6 structure.

Cell: 5.9612 5.9612 5.9612 Å, 90.77 90.77 90.77°
With the nearest neighbours (Å) after each atom.
Fractional coordinates of all 20 atoms:
O  0.7925  0.4549  0.5809  1 Se 1.83
O  0.5451  0.4191  0.2075  1 Se 1.83
O  0.2924  0.9331  0.0669  1 Se 1.83, 1 Mg 2.05
O  0.9331  0.7076  0.0669  1 Se 1.83, 1 Mg 2.05
O  0.4191  0.2075  0.5451  1 Se 1.83
O  0.9331  0.0669  0.2924  1 Se 1.83, 1 Mg 2.05
O  0.0669  0.9331  0.7076  1 Se 1.83, 1 Mg 2.05
O  0.4549  0.5809  0.7925  1 Se 1.83
O  0.7076  0.0669  0.9331  1 Se 1.83, 1 Mg 2.05
O  0.2075  0.5451  0.4191  1 Se 1.83
O  0.5809  0.7925  0.4549  1 Se 1.83
O  0.0669  0.2924  0.9331  1 Se 1.83, 1 Mg 2.05
Mg  0.7506  0.4437  0.9316  6 O 2.05-2.26
Mg  0.2494  0.5563  0.0684  6 O 2.05-2.26
Mg  0.4437  0.9316  0.7506  6 O 2.05-2.26
Mg  0.5563  0.0684  0.2494  6 O 2.05-2.26
Mg  0.9316  0.7506  0.4437  6 O 2.05-2.26
Mg  0.0684  0.2494  0.5563  6 O 2.05-2.26
Se  0.0000  0.0000  0.0000  6 O 1.83
Se  0.5000  0.5000  0.5000  6 O 1.83

Calculated values
Its symmetry is R-3. Its relative energy among the computed polymorphs is 0 meV per atom. The density of states at the Fermi level is 0.00 states/eV per atom.

=====

## SmMgSe2O8 (PBE)

Data for a geometry-optimized SmMgSe2O8 structure.

Cell: 5.5457 5.5457 6.7755 Å, 90.00 90.00 120.00°
With the nearest neighbours (Å) after each atom.
Fractional coordinates of all 12 atoms:
O  0.8440  0.1560  0.2142  1 Se 1.75
O  0.8440  0.6881  0.2142  1 Se 1.75
O  0.3119  0.1560  0.2142  1 Se 1.75
O  0.6667  0.3333  0.5204  1 Se 1.68
O  0.6881  0.8440  0.7858  1 Se 1.75
O  0.1560  0.3119  0.7858  1 Se 1.75
O  0.3333  0.6667  0.4796  1 Se 1.68
O  0.1560  0.8440  0.7858  1 Se 1.75
Sm  0.0000  0.0000  0.5000  6 O 2.45
Mg  0.0000  0.0000  0.0000  6 O 2.09
Se  0.3333  0.6667  0.7270  4 O 1.68-1.75
Se  0.6667  0.3333  0.2730  4 O 1.68-1.75

Calculated values
Its symmetry is P-3m1. The density of states at the Fermi level is 0.13 states/eV per atom.

=====

## Sm2MgSe2O2 (PBE)

Data for a geometry-optimized Sm2MgSe2O2 structure.

Cell: 4.0163 4.0163 8.1235 Å, 104.31 104.31 90.00°
With the nearest neighbours (Å) after each atom.
Fractional coordinates of all 7 atoms:
Se  0.8193  0.8193  0.6386  1 Mg 2.75, 4 Sm 3.03
Se  0.1807  0.1807  0.3614  1 Mg 2.75, 4 Sm 3.03
Mg  0.0000  0.0000  0.0000  4 O 2.01
Sm  0.6120  0.6120  0.2241  4 O 2.63
Sm  0.3880  0.3880  0.7759  4 O 2.63
O  0.0000  0.5000  0.0000  2 Mg 2.01
O  0.5000  0.0000  0.0000  2 Mg 2.01

Calculated values
Its symmetry is I4/mmm.

=====

## Sr2MgSeO6 (PBE)

Data for a geometry-optimized Sr2MgSeO6 structure.

Cell: 5.5226 5.5226 5.5228 Å, 60.01 60.01 90.01°
With the nearest neighbours (Å) after each atom.
Fractional coordinates of all 10 atoms:
Se  0.5000  0.5000  0.0000  6 O 1.83
O  0.7340  0.7340  0.0001  1 Se 1.83
O  0.2660  0.2659  0.4680  1 Se 1.83
O  0.7340  0.7341  0.5320  1 Se 1.83
O  0.7340  0.2660  0.9999  1 Se 1.83
O  0.2660  0.2660  0.9999  1 Se 1.83
O  0.2660  0.7340  0.0001  1 Se 1.83
Mg  0.0000  0.0000  0.0000  6 O 2.08
Sr  0.2500  0.7499  0.5000  12 O 2.76
Sr  0.7500  0.2501  0.5000  12 O 2.76

Calculated values
Its symmetry is Fm-3m.

=====

## SrMg3Se4O12 (PBE)

Data for a geometry-optimized SrMg3Se4O12 structure.

Cell: 6.7696 6.7696 6.7696 Å, 105.03 105.03 105.03°
With the nearest neighbours (Å) after each atom.
Fractional coordinates of all 20 atoms:
Mg  0.4217  0.0000  0.5783  4 O 2.03-2.10
Mg  0.5783  0.4217  0.0000  4 O 2.03-2.10
Mg  0.0000  0.5783  0.4217  4 O 2.03-2.10
Se  0.5000  0.8979  0.1021  3 O 1.73-1.81
Se  0.1021  0.5000  0.8979  3 O 1.73-1.81
Se  0.5000  0.5000  0.5000  3 O 1.85
Se  0.8979  0.1021  0.5000  3 O 1.73-1.81
Sr  0.0000  0.0000  0.0000  6 O 2.55
O  0.6474  0.7386  0.9891  1 Se 1.81
O  0.9413  0.5000  0.0587  1 Se 1.73
O  0.2614  0.3526  0.0109  1 Se 1.81
O  0.3282  0.6718  0.5000  1 Se 1.85, 2 Mg 2.03
O  0.3526  0.0109  0.2614  1 Se 1.81
O  0.0109  0.2614  0.3526  1 Se 1.81
O  0.7386  0.9891  0.6474  1 Se 1.81
O  0.5000  0.0587  0.9413  1 Se 1.73
O  0.5000  0.3282  0.6718  1 Se 1.85, 2 Mg 2.03
O  0.0587  0.9413  0.5000  1 Se 1.73
O  0.6718  0.5000  0.3282  1 Se 1.85, 2 Mg 2.03
O  0.9891  0.6474  0.7386  1 Se 1.81

Calculated values
Its symmetry is R32. The density of states at the Fermi level is 0.40 states/eV per atom.

=====

## SrMgSe2O8 (PBE)

Data for a geometry-optimized SrMgSe2O8 structure.

Cell: 5.0313 5.0313 7.9753 Å, 71.61 71.61 60.00°
With the nearest neighbours (Å) after each atom.
Fractional coordinates of all 12 atoms:
Sr  0.5000  0.5000  0.5000  12 O 2.92-2.99
O  0.8199  0.8199  0.5404  1 Se 1.68
O  0.0403  0.4012  0.8286  1 Se 1.67
O  0.5988  0.2701  0.1714  1 Se 1.67
O  0.7299  0.0403  0.8286  1 Se 1.67
O  0.4012  0.7299  0.8286  1 Se 1.67
O  0.9597  0.5988  0.1714  1 Se 1.67
O  0.1801  0.1801  0.4596  1 Se 1.68
O  0.2701  0.9597  0.1714  1 Se 1.67
Se  0.2554  0.2554  0.2337  4 O 1.67-1.68
Se  0.7446  0.7446  0.7663  4 O 1.67-1.68
Mg  0.0000  0.0000  0.0000  6 O 2.12

Calculated values
Its symmetry is R-3. The density of states at the Fermi level is 0.00 states/eV per atom.

=====

## Tb2MgSe2O2 (PBE)

Data for a geometry-optimized Tb2MgSe2O2 structure.

Cell: 3.9644 3.9644 8.0248 Å, 104.30 104.30 90.00°
With the nearest neighbours (Å) after each atom.
Fractional coordinates of all 7 atoms:
O  0.5000  0.0000  0.0000  2 Mg 1.98
O  0.0000  0.5000  0.0000  2 Mg 1.98
Se  0.1813  0.1813  0.3625  1 Mg 2.73, 4 Tb 2.99
Se  0.8187  0.8187  0.6375  1 Mg 2.73, 4 Tb 2.99
Mg  0.0000  0.0000  0.0000  4 O 1.98
Tb  0.6114  0.6114  0.2229  4 O 2.60
Tb  0.3886  0.3886  0.7771  4 O 2.60

Calculated values
Its symmetry is I4/mmm.

=====

Number 1: raw formation energy -15.3 eV/f.u.. Number 2: raw formation energy -14.8 eV/f.u.. Number 3: raw formation energy 4.3 eV/f.u.. Number 4: raw formation energy -2.0 eV/f.u.. Number 5: raw formation energy -17.8 eV/f.u.. Number 6: raw formation energy -19.2 eV/f.u.. Number 7: raw formation energy -17.9 eV/f.u.. Number 8: raw formation energy -17.1 eV/f.u.. Number 9: raw formation energy -20.8 eV/f.u.. Number 10: raw formation energy -25.6 eV/f.u.. Number 11: raw formation energy -17.9 eV/f.u.. Number 12: raw formation energy -17.1 eV/f.u..